4
Lattice="1.481 0.855 10.261 -1.481 0.855 10.261 0.000 -1.710 10.261" Properties=species:S:1:pos:R:3 comment="TaAs2Ir, relaxed, DFT PBE" polymorph_energy_mev_per_atom=144 sg=R3m crystal_system=trigonal pbc="T T T"
Ta 0.000 0.000 0.000
As 0.000 0.000 16.341
As 0.000 0.000 22.690
Ir 0.000 0.000 7.954